(1)
The following is a PBE calculation of a relaxed PmTlCd crystal, from Alexandria via LeMat-Bulk.

excess energy over the best structure of this formula in the dataset: 102.5 meV/atom
calculated formation energy: -63.5 kJ/mol of formula units

Cell and atoms, written as CIF:
```
data_PmTlCd
_chemical_formula_sum 'Pm2 Tl2 Cd2'
_symmetry_space_group_name_H-M 'I 4 m m'
_symmetry_Int_Tables_number 107
_symmetry_space_group_name_Hall 'I 4 -2'
_cell_length_a 3.6861
_cell_length_b 3.6861
_cell_length_c 12.0715
_cell_angle_alpha 90.00
_cell_angle_beta 90.00
_cell_angle_gamma 90.00
loop_
_atom_site_label
_atom_site_type_symbol
_atom_site_fract_x
_atom_site_fract_y
_atom_site_fract_z
Pm1 Pm 0.0000 0.0000 0.0000
Tl1 Tl 0.0000 0.0000 0.3215
Cd1 Cd 0.0000 0.0000 0.6703
```

---

(2)
The following is a PBE calculation of a relaxed Pm3TlCd2 crystal, from Alexandria via LeMat-Bulk.

excess energy over the best structure of this formula in the dataset: 0.0 meV/atom
calculated formation energy: -196.5 kJ/mol of formula units

Cell and atoms, written as CIF:
```
data_Pm3TlCd2
_chemical_formula_sum 'Pm6 Tl2 Cd4'
_symmetry_space_group_name_H-M 'C m m m'
_symmetry_Int_Tables_number 65
_symmetry_space_group_name_Hall '-C 2 2'
_cell_length_a 5.4282
_cell_length_b 16.3905
_cell_length_c 3.8561
_cell_angle_alpha 90.00
_cell_angle_beta 90.00
_cell_angle_gamma 90.00
loop_
_atom_site_label
_atom_site_type_symbol
_atom_site_fract_x
_atom_site_fract_y
_atom_site_fract_z
Pm1 Pm 0.0000 0.0000 0.0000
Pm2 Pm 0.0000 0.3327 0.0000
Tl1 Tl 0.0000 0.5000 0.5000
Cd1 Cd 0.0000 0.1702 0.5000
```

---

(3)
The following is a PBE calculation of a relaxed Pm4Tl2Cd5 crystal, from Alexandria via LeMat-Bulk.

calculated formation energy: -264.4 kJ/mol of formula units

Cell and atoms, written as CIF:
```
data_Pm4Tl2Cd5
_chemical_formula_sum 'Pm4 Tl2 Cd5'
_symmetry_space_group_name_H-M 'P 1 2/m 1'
_symmetry_Int_Tables_number 10
_cell_length_a 8.0744
_cell_length_b 3.6227
_cell_length_c 10.4559
_cell_angle_alpha 90.00
_cell_angle_beta 95.76
_cell_angle_gamma 90.00
loop_
_symmetry_equiv_pos_as_xyz
'x,y,z'
'-x,-y,-z'
'-x,y,-z'
'x,-y,z'
loop_
_atom_site_label
_atom_site_type_symbol
_atom_site_fract_x
_atom_site_fract_y
_atom_site_fract_z
Pm1 Pm 0.1701 0.0000 0.3906
Pm2 Pm 0.2779 0.0000 0.9411
Tl1 Tl 0.0659 0.5000 0.1405
Cd1 Cd 0.1943 0.5000 0.6604
Cd2 Cd 0.4477 0.5000 0.2080
Cd3 Cd 0.5000 0.5000 0.5000
```

---

no.,V (Å³/cell),size of the total moment (μB/f.u.)
1,164.0,0.11
2,343.1,0.96
3,304.3,0.00